[1]
Compound: Rb2Ce2MnS6
Source: Alexandria
Functional: PBE
Structure: relaxed

Calculated values
Raw formation energy, eV/atom: -1.436
Space-group type: No. 12

abc: 6.9100 6.9100 8.1415
angles: 97.99 97.99 120.06
Atoms (fractional coordinates):
Ce (0.3341, 0.6659, 0.5000)
Ce (0.6659, 0.3341, 0.5000)
Rb (0.8346, 0.1654, 0.0000)
Rb (0.1654, 0.8346, 0.0000)
Mn (0.0000, 0.0000, 0.5000)
S (0.6155, 0.9411, 0.3166)
S (0.3845, 0.0589, 0.6834)
S (0.9411, 0.6155, 0.3166)
S (0.0589, 0.3845, 0.6834)
S (0.2538, 0.2538, 0.3213)
S (0.7462, 0.7462, 0.6787)

***

[2]
Compound: RbTlSe3
Source: Alexandria
Functional: PBE
Structure: relaxed

Calculated values
Energy above the lowest structure with this stoichiometry, eV/f.u.: 2.08
Raw formation energy, eV/atom: -0.091
Space-group type: No. 221

abc: 5.5409 5.5409 5.5409
angles: 90.00 90.00 90.00
Atoms (fractional coordinates):
Se (0.0000, 0.5000, 0.0000)
Se (0.5000, 0.0000, 0.0000)
Se (0.0000, 0.0000, 0.5000)
Rb (0.5000, 0.5000, 0.5000)
Tl (0.0000, 0.0000, 0.0000)

***

[3]
Compound: YSi2Tc4
Source: Alexandria
Functional: PBE
Structure: relaxed

Calculated values
Raw formation energy, eV/atom: -0.523
Space-group type: No. 65

abc: 4.0884 4.1136 7.1851
angles: 106.63 90.00 90.00
Atoms (fractional coordinates):
Tc (0.0000, 0.6950, 0.3900)
Tc (0.5000, 0.8109, 0.6218)
Tc (0.5000, 0.1891, 0.3782)
Tc (0.0000, 0.3050, 0.6100)
Y (0.0000, 0.0000, 0.0000)
Si (0.5000, 0.4119, 0.8238)
Si (0.5000, 0.5881, 0.1762)

***

[4]
Compound: Sc2MoPb
Source: Alexandria
Functional: PBE
Structure: relaxed

Calculated values
E_form, kJ/mol of formula units: -6
Space-group type: No. 65

abc: 3.1600 3.1600 9.1983
angles: 90.00 90.00 108.37
Atoms (fractional coordinates):
Pb (0.5000, 0.5000, 0.7500)
Sc (0.0000, 0.0000, 0.0318)
Sc (0.0000, 0.0000, 0.4682)
Mo (0.5000, 0.5000, 0.2500)

***

[5]
Compound: La4GeSeS2
Source: Alexandria
Functional: PBE
Structure: relaxed

Calculated values
Raw formation energy, eV/atom: -1.822
Space-group type: No. 10

abc: 4.2919 7.3632 7.4222
angles: 70.33 90.00 90.00
Atoms (fractional coordinates):
Ge (0.0000, 0.5000, 0.5000)
La (0.0000, 0.7579, 0.7421)
La (0.0000, 0.2421, 0.2579)
La (0.5000, 0.2449, 0.7479)
La (0.5000, 0.7551, 0.2521)
S (0.0000, 0.0000, 0.0000)
S (0.5000, 0.0000, 0.5000)
Se (0.5000, 0.5000, 0.0000)

***

[6]
Compound: TcTe2P
Source: Alexandria
Functional: PBE
Structure: relaxed

Calculated values
Raw formation energy, eV/atom: 0.070
Space-group type: No. 65

abc: 5.8524 5.8524 4.1577
angles: 90.00 90.00 133.68
Atoms (fractional coordinates):
Te (0.8396, 0.1604, 0.0000)
Te (0.1604, 0.8396, 0.0000)
Tc (0.0000, 0.0000, 0.5000)
P (0.5000, 0.5000, 0.5000)